Entry 1:
First-principles (PBE-GGA) data for an optimized crystal structure of Dy2ErSe4, as listed in Alexandria via LeMat-Bulk.

Cell: 4.0862 7.1457 7.9262 Å, 118.25 104.94 90.00°
Sites, in units of the cell vectors:
Se: 0.3665 0.7215 0.7330
Se: 0.6335 0.2785 0.2670
Se: 0.1215 0.8024 0.2429
Se: 0.8785 0.1976 0.7571
Er: 0.0000 0.0000 0.0000
Dy: 0.7335 0.7439 0.4670
Dy: 0.2665 0.2561 0.5330

Space group: C2/m, No. 12
Crystal system: monoclinic
Spin magnetization in μB per formula unit: 0.000


Entry 2:
First-principles (PBE-GGA) data for an optimized crystal structure of Dy6Er2Se3, as listed in Alexandria via LeMat-Bulk.

Cell: 3.7859 3.7859 25.1974 Å, 85.69 85.69 60.00°
Sites, in units of the cell vectors:
Dy: 0.9261 0.9261 0.2216
Dy: 0.0739 0.0739 0.7784
Dy: 0.1851 0.1851 0.4447
Dy: 0.6421 0.6421 0.0737
Dy: 0.8149 0.8149 0.5553
Dy: 0.3579 0.3579 0.9263
Er: 0.5557 0.5557 0.3328
Er: 0.4443 0.4443 0.6672
Se: 0.7153 0.7153 0.8541
Se: 0.0000 0.0000 0.0000
Se: 0.2847 0.2847 0.1459

Space group: R-3m, No. 166
Crystal system: trigonal
Spin magnetization in μB per formula unit: 0.001


Entry 3:
First-principles (PBE-GGA) data for an optimized crystal structure of Dy3ErSe4, as listed in Alexandria via LeMat-Bulk.

Cell: 4.0148 7.0707 7.0707 Å, 108.84 90.00 90.00°
Sites, in units of the cell vectors:
Se: 0.5000 0.2487 0.7513
Se: 0.0000 0.2475 0.2475
Se: 0.5000 0.7513 0.2487
Se: 0.0000 0.7525 0.7525
Dy: 0.0000 0.0000 0.5000
Dy: 0.5000 0.5000 0.5000
Dy: 0.0000 0.5000 0.0000
Er: 0.5000 0.0000 0.0000

Space group: Cmmm, No. 65
Crystal system: orthorhombic
Spin magnetization in μB per formula unit: 0.000


Entry 4:
First-principles (PBE-GGA) data for an optimized crystal structure of Dy4ErSe6, as listed in Alexandria via LeMat-Bulk.

Cell: 3.9712 6.9795 20.7312 Å, 90.00 90.00 106.53°
Sites, in units of the cell vectors:
Se: 0.9458 0.8915 0.8327
Se: 0.7694 0.5388 0.4092
Se: 0.3071 0.6142 0.2500
Se: 0.0542 0.1085 0.1673
Se: 0.9458 0.8915 0.6673
Se: 0.7694 0.5388 0.0908
Se: 0.2306 0.4612 0.5908
Se: 0.5000 0.0000 0.0000
Se: 0.0542 0.1085 0.3327
Se: 0.5000 0.0000 0.5000
Se: 0.6929 0.3858 0.7500
Se: 0.2306 0.4612 0.9092
Dy: 0.4109 0.8218 0.1272
Dy: 0.4109 0.8218 0.3728
Dy: 0.1408 0.2816 0.4616
Dy: 0.5891 0.1782 0.8728
Dy: 0.5891 0.1782 0.6272
Dy: 0.8592 0.7184 0.5384
Dy: 0.8592 0.7184 0.9616
Dy: 0.1408 0.2816 0.0384
Er: 0.3477 0.6954 0.7500
Er: 0.6523 0.3046 0.2500

Space group: Cmcm, No. 63
Crystal system: orthorhombic
Spin magnetization in μB per formula unit: 0.000


Entry 5:
First-principles (PBE-GGA) data for an optimized crystal structure of Dy2Er3Se4, as listed in Alexandria via LeMat-Bulk.

Cell: 3.9508 3.9508 16.6427 Å, 90.02 89.98 119.99°
Sites, in units of the cell vectors:
Dy: 0.3329 0.6671 0.2083
Dy: 0.6671 0.3329 0.7917
Se: 0.0006 0.9994 0.6884
Se: 0.3336 0.6664 0.8976
Se: 0.9994 0.0006 0.3116
Se: 0.6664 0.3336 0.1024
Er: 0.0000 0.0000 0.0000
Er: 0.6661 0.3339 0.4179
Er: 0.3339 0.6661 0.5821

Space group: C2/m, No. 12
Crystal system: monoclinic
Spin magnetization in μB per formula unit: 0.005


Entry 6:
First-principles (PBE-GGA) data for an optimized crystal structure of Dy3Er2Se8, as listed in Alexandria via LeMat-Bulk.

Cell: 6.9637 8.1723 8.2065 Å, 119.86 106.84 90.00°
Sites, in units of the cell vectors:
Se: 0.5852 0.6358 0.7512
Se: 0.4148 0.8846 0.2488
Se: 0.0971 0.3806 0.7612
Se: 0.5852 0.1154 0.7512
Se: 0.9250 0.1196 0.2393
Se: 0.0750 0.8804 0.7607
Se: 0.9029 0.6194 0.2388
Se: 0.4148 0.3642 0.2488
Er: 0.3378 0.2572 0.5144
Er: 0.6622 0.7428 0.4856
Dy: 0.5000 0.0000 0.0000
Dy: 0.0000 0.7386 0.0000
Dy: 0.0000 0.2614 0.0000

Space group: C2/m, No. 12
Crystal system: monoclinic
Spin magnetization in μB per formula unit: 0.000


Entry 7:
First-principles (PBE-GGA) data for an optimized crystal structure of Dy2ErSe4, as listed in Alexandria via LeMat-Bulk.

Cell: 3.9439 7.0007 13.7799 Å, 90.00 90.00 106.36°
Sites, in units of the cell vectors:
Dy: 0.8701 0.7401 0.9299
Dy: 0.8701 0.7401 0.5701
Dy: 0.1299 0.2599 0.0701
Dy: 0.1299 0.2599 0.4299
Se: 0.5000 0.0000 0.0000
Se: 0.7781 0.5561 0.1232
Se: 0.7781 0.5561 0.3768
Se: 0.2219 0.4439 0.6232
Se: 0.9738 0.9476 0.7500
Se: 0.0262 0.0524 0.2500
Se: 0.2219 0.4439 0.8768
Se: 0.5000 0.0000 0.5000
Er: 0.6279 0.2557 0.7500
Er: 0.3721 0.7443 0.2500

Space group: Cmcm, No. 63
Crystal system: orthorhombic
Spin magnetization in μB per formula unit: 0.000


Entry 8:
First-principles (PBE-GGA) data for an optimized crystal structure of DyEr4Se6, as listed in Alexandria via LeMat-Bulk.

Cell: 3.9591 6.9224 20.5925 Å, 90.00 90.00 106.62°
Sites, in units of the cell vectors:
Se: 0.2312 0.4625 0.5905
Se: 0.0524 0.1048 0.3341
Se: 0.6893 0.3787 0.7500
Se: 0.5000 0.0000 0.0000
Se: 0.7688 0.5375 0.0905
Se: 0.7688 0.5375 0.4095
Se: 0.9476 0.8952 0.6659
Se: 0.9476 0.8952 0.8341
Se: 0.5000 0.0000 0.5000
Se: 0.2312 0.4625 0.9095
Se: 0.0524 0.1048 0.1659
Se: 0.3107 0.6213 0.2500
Dy: 0.3477 0.6954 0.7500
Dy: 0.6523 0.3046 0.2500
Er: 0.8595 0.7189 0.9620
Er: 0.1405 0.2811 0.0380
Er: 0.5896 0.1792 0.6267
Er: 0.5896 0.1792 0.8733
Er: 0.8595 0.7189 0.5380
Er: 0.4104 0.8208 0.1267
Er: 0.1405 0.2811 0.4620
Er: 0.4104 0.8208 0.3733

Space group: Cmcm, No. 63
Crystal system: orthorhombic
Spin magnetization in μB per formula unit: 0.000


Entry 9:
First-principles (PBE-GGA) data for an optimized crystal structure of Dy2ErSe, as listed in Alexandria via LeMat-Bulk.

Cell: 3.5975 3.5975 8.4230 Å, 90.00 90.00 90.00°
Sites, in units of the cell vectors:
Dy: 0.0000 0.0000 0.7899
Dy: 0.0000 0.0000 0.2101
Se: 0.5000 0.5000 0.0000
Er: 0.5000 0.5000 0.5000

Space group: P4/mmm, No. 123
Crystal system: tetragonal
Spin magnetization in μB per formula unit: 0.000


Entry 10:
First-principles (PBE-GGA) data for an optimized crystal structure of Dy2ErSe, as listed in Alexandria via LeMat-Bulk.

Cell: 3.6997 3.6997 10.5111 Å, 79.86 79.86 60.00°
Each line ends with the local moment (μB).
Sites, in units of the cell vectors:
Dy: 0.1080 0.1080 0.6760  0.02
Dy: 0.8920 0.8920 0.3240  0.02
Se: 0.5000 0.5000 0.5000  0.00
Er: 0.0000 0.0000 0.0000  0.14

Space group: R-3m, No. 166
Crystal system: trigonal
Spin magnetization in μB per formula unit: 0.269


Entry 11:
First-principles (PBE-GGA) data for an optimized crystal structure of Dy6ErSe8, as listed in Alexandria via LeMat-Bulk.

Cell: 8.1182 8.1182 8.1182 Å, 60.00 60.00 60.00°
Sites, in units of the cell vectors:
Se: 0.2518 0.7482 0.7482
Se: 0.2518 0.7482 0.2518
Se: 0.7500 0.7500 0.7500
Se: 0.7482 0.7482 0.2518
Se: 0.2500 0.2500 0.2500
Se: 0.2518 0.2518 0.7482
Se: 0.7482 0.2518 0.7482
Se: 0.7482 0.2518 0.2518
Dy: 0.0000 0.5000 0.5000
Dy: 0.0000 0.5000 0.0000
Dy: 0.5000 0.0000 0.0000
Dy: 0.0000 0.0000 0.5000
Dy: 0.5000 0.5000 0.0000
Dy: 0.5000 0.0000 0.5000
Er: 0.0000 0.0000 0.0000

Space group: Fm-3m, No. 225
Crystal system: cubic
Spin magnetization in μB per formula unit: 0.000


Entry 12:
First-principles (PBE-GGA) data for an optimized crystal structure of DyEr2Se, as listed in Alexandria via LeMat-Bulk.

Cell: 3.6649 3.6649 10.5460 Å, 79.99 79.99 60.00°
Each line ends with the local moment (μB).
Sites, in units of the cell vectors:
Er: 0.1082 0.1082 0.6754  0.05
Er: 0.8918 0.8918 0.3246  0.05
Dy: 0.0000 0.0000 0.0000  0.31
Se: 0.5000 0.5000 0.5000  0.00

Space group: R-3m, No. 166
Crystal system: trigonal
Spin magnetization in μB per formula unit: 0.628


Entry 13:
First-principles (PBE-GGA) data for an optimized crystal structure of DyEr4Se5, as listed in Alexandria via LeMat-Bulk.

Cell: 5.7316 6.9985 6.9985 Å, 80.35 65.83 65.83°
Sites, in units of the cell vectors:
Er: 0.6025 0.6003 0.1967
Er: 0.3995 0.3997 0.8033
Er: 0.7992 0.8033 0.6003
Er: 0.2028 0.1967 0.3997
Se: 0.3039 0.7967 0.5976
Se: 0.9014 0.4024 0.7967
Se: 0.1006 0.5976 0.2033
Se: 0.6982 0.2033 0.4024
Se: 0.5011 0.0000 0.0000
Dy: 0.0012 0.0000 0.0000

Space group: I4/m, No. 87
Crystal system: tetragonal
Spin magnetization in μB per formula unit: 0.000


Entry 14:
First-principles (PBE-GGA) data for an optimized crystal structure of Dy4Er2Se9, as listed in Alexandria via LeMat-Bulk.

Cell: 7.1763 7.1780 19.4363 Å, 90.01 90.02 60.03°
Sites, in units of the cell vectors:
Dy: 0.3343 0.3331 0.6809
Dy: 0.3330 0.3335 0.9850
Dy: 0.6670 0.6665 0.0150
Dy: 0.6662 0.6667 0.5146
Dy: 0.6657 0.6669 0.3191
Dy: 0.6677 0.6663 0.8189
Dy: 0.3338 0.3333 0.4854
Dy: 0.3323 0.3337 0.1811
Se: 0.3597 0.9707 0.9167
Se: 0.3308 0.0279 0.5834
Se: 0.3576 0.6704 0.4166
Se: 0.9708 0.6713 0.9169
Se: 0.6403 0.0293 0.0833
Se: 0.6962 0.3041 0.2497
Se: 0.6699 0.3594 0.9167
Se: 0.3038 0.6959 0.7503
Se: 0.9989 0.6967 0.2501
Se: 0.6424 0.3296 0.5834
Se: 0.3032 0.9998 0.2499
Se: 0.6692 0.9721 0.4166
Se: 0.0288 0.6409 0.5831
Se: 0.3301 0.6406 0.0833
Se: 0.6968 0.0002 0.7501
Se: 0.0011 0.3033 0.7499
Se: 0.9712 0.3591 0.4169
Se: 0.0292 0.3287 0.0831
Er: 0.0002 0.0010 0.8473
Er: 0.0011 0.9986 0.6530
Er: 0.9998 0.9990 0.1527
Er: 0.9989 0.0014 0.3470

Space group: P-1, No. 2
Crystal system: triclinic
Spin magnetization in μB per formula unit: 0.000


Entry 15:
First-principles (PBE-GGA) data for an optimized crystal structure of DyEr2Se2, as listed in Alexandria via LeMat-Bulk.

Cell: 3.8912 3.8912 10.1667 Å, 78.97 78.97 60.00°
Each line ends with the local moment (μB).
Sites, in units of the cell vectors:
Se: 0.3928 0.3928 0.8217  0.00
Se: 0.6072 0.6072 0.1783  0.00
Er: 0.7876 0.7876 0.6371  0.17
Er: 0.2124 0.2124 0.3629  0.17
Dy: 0.0000 0.0000 0.0000  -0.03

Space group: R-3m, No. 166
Crystal system: trigonal
Spin magnetization in μB per formula unit: 0.450


Entry 16:
First-principles (PBE-GGA) data for an optimized crystal structure of DyEr3Se4, as listed in Alexandria via LeMat-Bulk.

Cell: 5.7231 5.7231 5.7231 Å, 90.00 90.00 90.00°
Sites, in units of the cell vectors:
Se: 0.5000 0.5000 0.5000
Se: 0.0000 0.5000 0.0000
Se: 0.0000 0.0000 0.5000
Se: 0.5000 0.0000 0.0000
Er: 0.0000 0.5000 0.5000
Er: 0.5000 0.0000 0.5000
Er: 0.5000 0.5000 0.0000
Dy: 0.0000 0.0000 0.0000

Space group: Pm-3m, No. 221
Crystal system: cubic
Spin magnetization in μB per formula unit: 0.005


Entry 17:
First-principles (PBE-GGA) data for an optimized crystal structure of Dy3Er4Se8, as listed in Alexandria via LeMat-Bulk.

Cell: 8.0785 8.0816 8.0816 Å, 90.01 119.97 119.97°
Sites, in units of the cell vectors:
Se: 0.5000 0.7511 0.2489
Se: 0.0000 0.2526 0.7474
Se: 0.0000 0.7474 0.2526
Se: 0.5050 0.2514 0.2514
Se: 0.0023 0.7484 0.7484
Se: 0.5000 0.2489 0.7511
Se: 0.4950 0.7486 0.7486
Se: 0.9977 0.2516 0.2516
Dy: 0.5000 0.0000 0.5000
Dy: 0.5000 0.5000 0.0000
Dy: 0.5000 0.5000 0.5000
Er: 0.0000 0.0000 0.5000
Er: 0.0000 0.5000 0.0000
Er: 0.0000 0.0000 0.0000
Er: 0.5000 0.0000 0.0000

Space group: C2/m, No. 12
Crystal system: monoclinic
Spin magnetization in μB per formula unit: 0.001


Entry 18:
First-principles (PBE-GGA) data for an optimized crystal structure of Sm2DyErSe6, as listed in Alexandria via LeMat-Bulk.

Cell: 7.2810 7.2810 7.7436 Å, 61.96 61.95 59.99°
Sites, in units of the cell vectors:
Sm: 0.5174 0.5174 0.4479
Sm: 0.0176 0.0177 0.9471
Er: 0.8191 0.8192 0.5425
Se: 0.4302 0.7111 0.7548
Se: 0.9279 0.6063 0.2564
Se: 0.6062 0.2095 0.2564
Se: 0.7112 0.1037 0.7549
Se: 0.1038 0.4303 0.7549
Se: 0.2094 0.9278 0.2564
Dy: 0.3187 0.3187 0.0438

Space group: R3, No. 146
Crystal system: trigonal
Spin magnetization in μB per formula unit: 0.000


Entry 19:
First-principles (PBE-GGA) data for an optimized crystal structure of SmDyEr2Se6, as listed in Alexandria via LeMat-Bulk.

Cell: 7.2169 7.2169 7.7020 Å, 62.06 62.06 60.00°
Sites, in units of the cell vectors:
Se: 0.7259 0.1231 0.7493
Se: 0.6136 0.2274 0.2478
Se: 0.1231 0.4018 0.7492
Se: 0.2273 0.9112 0.2478
Se: 0.9113 0.6136 0.2478
Se: 0.4018 0.7258 0.7492
Dy: 0.3176 0.3176 0.0471
Er: 0.5141 0.5140 0.4580
Er: 0.0122 0.0122 0.9635
Sm: 0.8148 0.8148 0.5555

Space group: R3, No. 146
Crystal system: trigonal
Spin magnetization in μB per formula unit: 0.000


Entry 20:
First-principles (PBE-GGA) data for an optimized crystal structure of SmDy2ErSe6, as listed in Alexandria via LeMat-Bulk.

Cell: 7.2342 7.2340 7.7218 Å, 62.06 62.06 59.99°
Sites, in units of the cell vectors:
Se: 0.9188 0.6081 0.2491
Se: 0.6081 0.2241 0.2491
Se: 0.4064 0.7212 0.7516
Se: 0.1207 0.4065 0.7517
Se: 0.2240 0.9187 0.2491
Se: 0.7212 0.1206 0.7517
Dy: 0.5153 0.5152 0.4543
Dy: 0.0129 0.0129 0.9614
Er: 0.3188 0.3188 0.0435
Sm: 0.8154 0.8154 0.5537

Space group: R3, No. 146
Crystal system: trigonal
Spin magnetization in μB per formula unit: 0.000


Entry 21:
First-principles (PBE-GGA) data for an optimized crystal structure of SmDy2Er3Se6, as listed in Alexandria via LeMat-Bulk.

Cell: 4.0546 8.1912 9.1133 Å, 103.49 102.85 90.00°
Sites, in units of the cell vectors:
Se: 0.0004 0.7412 0.0008
Se: 0.3335 0.4146 0.6669
Se: 0.9996 0.2588 0.9992
Se: 0.6665 0.5854 0.3331
Se: 0.6706 0.0826 0.3413
Se: 0.3294 0.9174 0.6587
Er: 0.5000 0.5000 0.0000
Er: 0.8356 0.1663 0.6712
Er: 0.1644 0.8337 0.3288
Dy: 0.8348 0.6695 0.6696
Dy: 0.1652 0.3305 0.3304
Sm: 0.5000 0.0000 0.0000

Space group: C2/m, No. 12
Crystal system: monoclinic
Spin magnetization in μB per formula unit: 0.000


Number 1: formation energy from raw total energies -1819 meV/atom. Number 2: formation energy from raw total energies -877 meV/atom. Number 3: formation energy from raw total energies -1732 meV/atom. Number 4: formation energy from raw total energies -1807 meV/atom. Number 5: formation energy from raw total energies -1518 meV/atom. Number 6: formation energy from raw total energies -1697 meV/atom. Number 7: formation energy from raw total energies -1816 meV/atom. Number 8: formation energy from raw total energies -1790 meV/atom. Number 9: formation energy from raw total energies -683 meV/atom. Number 10: formation energy from raw total energies -525 meV/atom. Number 11: formation energy from raw total energies -1829 meV/atom. Number 12: formation energy from raw total energies -515 meV/atom. Number 13: formation energy from raw total energies -1703 meV/atom. Number 14: formation energy from raw total energies -1857 meV/atom. Number 15: formation energy from raw total energies -1367 meV/atom. Number 16: formation energy from raw total energies -1695 meV/atom. Number 17: formation energy from raw total energies -1811 meV/atom. Number 18: formation energy from raw total energies -1846 meV/atom. Number 19: formation energy from raw total energies -1846 meV/atom. Number 20: formation energy from raw total energies -1848 meV/atom. Number 21: formation energy from raw total energies -1733 meV/atom.